Computed, not measured: Sc3GeBi after structural relaxation at the PBE level of DFT.

It has space group Pm-3m (No. 221), with a = 5.3832 Å, b = 5.3832 Å, c = 5.3832 Å, α = 90.00°, β = 90.00° and γ = 90.00°. The distinct sites, in fractional coordinates, are Sc at (0.0000, 0.0000, 0.5000), Ge at (0.5000, 0.5000, 0.5000) and Bi at (0.0000, 0.0000, 0.0000).

The calculation puts the density of states at the Fermi level at 6.01 states/eV/cell. Its excess energy over the best structure of this formula in the dataset is 22.42 kcal/mol of atoms. The calculation puts the total energy at -25.35 eV for the cell shown. The formation energy comes out at 0.429 eV per atom.



Computed, not measured: SrLa2BiN after structural relaxation at the PBE level of DFT.

It has space group P4/mmm (No. 123), with a = 5.0890 Å, b = 5.0890 Å, c = 5.3239 Å, α = 90.00°, β = 90.00° and γ = 90.00°. The distinct sites, in fractional coordinates, are Sr at (0.0000, 0.0000, 0.0000), La at (0.0000, 0.5000, 0.5000), Bi at (0.5000, 0.5000, 0.0000) and N at (0.0000, 0.0000, 0.5000).

The calculation puts the density of states at the Fermi level at 4.10 states/eV/cell. The calculation puts the raw formation energy at -918 meV/atom. The calculation puts the total energy at -28.33 eV for the cell shown.



Computed, not measured: CsIn2Se3 after structural relaxation at the PBE level of DFT.

It has space group Pmc2_1 (No. 26), with a = 4.0316 Å, b = 12.9170 Å, c = 7.4085 Å, α = 90.00°, β = 90.00° and γ = 90.00°. The distinct sites, in fractional coordinates, are Cs at (0.0000, 0.1201, 0.0000), In at (0.0000, 0.2496, 0.4888), In at (0.5000, 0.4854, 0.9921), Se at (0.0000, 0.4143, 0.7171), Se at (0.5000, 0.1185, 0.5870) and Se at (0.5000, 0.3201, 0.2507).

The calculation puts the density of states at the Fermi level at 2.85 states/eV/cell. The calculation puts the raw formation energy at -672 meV/atom. The calculation puts the total energy at -41.64 eV for the cell shown.



Computed, not measured: YTaBr2 after structural relaxation at the PBE level of DFT.

It has space group Immm (No. 71), with a = 3.5791 Å, b = 4.8167 Å, c = 13.7164 Å, α = 90.00°, β = 90.00° and γ = 90.00°. The distinct sites, in fractional coordinates, are Y at (0.0000, 0.0000, 0.0000), Ta at (0.0000, 0.0000, 0.5000) and Br at (0.0000, 0.5000, 0.1464).

The calculation puts the density of states at the Fermi level at 5.31 states/eV/cell. Its excess energy over the best structure of this formula in the dataset is 5.16 kcal/mol of atoms. The calculation puts the raw formation energy at -257 meV/atom. The calculation puts the total energy at -45.38 eV for the cell shown.



Computed, not measured: FeNi2Rh after structural relaxation at the PBE level of DFT.

It has space group Pmm2 (No. 25), with a = 2.6182 Å, b = 4.1715 Å, c = 4.4603 Å, α = 90.00°, β = 90.00° and γ = 90.00°. The distinct sites, in fractional coordinates, are Fe at (0.0000, 0.0000, 0.0000), Ni at (0.5000, 0.0000, 0.5085), Ni at (0.5000, 0.5000, 0.8335) and Rh at (0.0000, 0.5000, 0.3401).

The calculation puts the density of states at the Fermi level at 3.40 states/eV/cell. The calculation puts the total energy at -27.49 eV for the cell shown. The formation energy comes out at -0.029 eV per atom.



Computed, not measured: YPu2Ga9 after structural relaxation at the PBE level of DFT.

It has space group P4/mmm (No. 123), with a = 4.2826 Å, b = 4.2826 Å, c = 12.8328 Å, α = 90.00°, β = 90.00° and γ = 90.00°. The distinct sites, in fractional coordinates, are Y at (0.0000, 0.0000, 0.0000), Pu at (0.0000, 0.0000, 0.3324), Ga at (0.0000, 0.5000, 0.1687), Ga at (0.0000, 0.5000, 0.5000), Ga at (0.5000, 0.5000, 0.0000) and Ga at (0.5000, 0.5000, 0.3352).

The calculation puts the density of states at the Fermi level at 20.88 states/eV/cell. Its excess energy over the best structure of this formula in the dataset is 0.00 kcal/mol of atoms. The calculation puts the total energy at -67.52 eV for the cell shown. The formation energy comes out at -0.429 eV per atom.